1.
Material: FeNi2Sb
Method: DFT, PBE-GGA
State: relaxed

a b c (Å): 4.209 4.209 4.209
angles (deg): 60.00 60.00 60.00
Positions (direct):
Fe: 0.000 0.000 0.000
Ni: 0.500 0.500 0.500
Ni: 0.750 0.750 0.750
Sb: 0.250 0.250 0.250

Calculated values
Crystal system ... cubic
Final energy ... -23.552 eV for the cell shown
Symmetry ... F-43m, No. 216



2.
Material: FeTcNiSb
Method: DFT, PBE-GGA
State: relaxed

a b c (Å): 4.341 4.341 4.341
angles (deg): 60.00 60.00 60.00
Positions (direct):
Fe: 0.500 0.500 0.500
Ni: 0.750 0.750 0.750
Sb: 0.000 0.000 0.000
Tc: 0.250 0.250 0.250

Calculated values
E above lowest polymorph ... 0.0 meV per atom
Crystal system ... cubic
Symmetry ... F-43m, No. 216



3.
Material: FeNiSbW
Method: DFT, PBE-GGA
State: relaxed

a b c (Å): 4.371 4.371 4.371
angles (deg): 60.00 60.00 60.00
Positions (direct):
Fe: 0.750 0.750 0.750
Ni: 0.500 0.500 0.500
Sb: 0.000 0.000 0.000
W: 0.250 0.250 0.250

Calculated values
E above lowest polymorph ... 83.7 meV per atom
Crystal system ... cubic
Symmetry ... F-43m, No. 216



4.
Material: FeNiSbW
Method: DFT, PBE-GGA
State: relaxed

a b c (Å): 4.322 4.322 4.322
angles (deg): 60.00 60.00 60.00
Positions (direct):
Fe: 0.750 0.750 0.750
Ni: 0.250 0.250 0.250
Sb: 0.000 0.000 0.000
W: 0.500 0.500 0.500

Calculated values
E above lowest polymorph ... 0.0 meV per atom
Crystal system ... cubic
Symmetry ... F-43m, No. 216



5.
Material: YFeNiSb
Method: DFT, PBE-GGA
State: relaxed

a b c (Å): 4.713 4.713 4.713
angles (deg): 60.00 60.00 60.00
Positions (direct):
Fe: 0.750 0.750 0.750
Ni: 0.500 0.500 0.500
Sb: 0.000 0.000 0.000
Y: 0.250 0.250 0.250

Calculated values
E above lowest polymorph ... 207.1 meV per atom
Crystal system ... cubic
Symmetry ... F-43m, No. 216



6.
Material: YFeNiSb
Method: DFT, PBE-GGA
State: relaxed

a b c (Å): 4.582 4.582 4.582
angles (deg): 60.00 60.00 60.00
Positions (direct):
Fe: 0.750 0.750 0.750
Ni: 0.250 0.250 0.250
Sb: 0.000 0.000 0.000
Y: 0.500 0.500 0.500

Calculated values
E above lowest polymorph ... 0.0 meV per atom
Crystal system ... cubic
Symmetry ... F-43m, No. 216



7.
Material: Zr2FeNiSb2
Method: DFT, PBE-GGA
State: relaxed

a b c (Å): 6.125 6.125 7.492
angles (deg): 65.87 65.87 90.00
Positions (direct):
Fe: 0.000 0.000 0.000
Fe: 0.250 0.750 0.500
Ni: 0.500 0.500 0.000
Ni: 0.750 0.250 0.500
Sb: 0.125 0.630 0.250
Sb: 0.625 0.120 0.250
Sb: 0.880 0.875 0.750
Sb: 0.370 0.375 0.750
Zr: 0.625 0.629 0.250
Zr: 0.125 0.121 0.250
Zr: 0.879 0.375 0.750
Zr: 0.371 0.875 0.750

Calculated values
Crystal system ... tetragonal
Final energy ... -86.586 eV for the cell shown
Symmetry ... I-42d, No. 122



8.
Material: ScFeNi2
Method: DFT, PBE-GGA
State: relaxed

a b c (Å): 4.194 4.194 4.194
angles (deg): 60.00 60.00 60.00
Positions (direct):
Fe: 0.250 0.250 0.250
Ni: 0.000 0.000 0.000
Ni: 0.750 0.750 0.750
Sc: 0.500 0.500 0.500

Calculated values
Energy of formation from the pure elements ... -0.130 eV/atom
Crystal system ... cubic
Symmetry ... F-43m, No. 216



9.
Material: ScFeSiNi
Method: DFT, PBE-GGA
State: relaxed

a b c (Å): 4.161 4.161 4.161
angles (deg): 60.00 60.00 60.00
Positions (direct):
Fe: 0.750 0.750 0.750
Ni: 0.250 0.250 0.250
Sc: 0.500 0.500 0.500
Si: 0.000 0.000 0.000

Calculated values
E above lowest polymorph ... 0.0 meV per atom
Crystal system ... cubic
Symmetry ... F-43m, No. 216



10.
Material: ScFeSiNi
Method: DFT, PBE-GGA
State: relaxed

a b c (Å): 4.274 4.274 4.274
angles (deg): 60.00 60.00 60.00
Positions (direct):
Fe: 0.500 0.500 0.500
Ni: 0.750 0.750 0.750
Sc: 0.250 0.250 0.250
Si: 0.000 0.000 0.000

Calculated values
E above lowest polymorph ... 327.5 meV per atom
Crystal system ... cubic
Symmetry ... F-43m, No. 216



11.
Material: ScFeSiNi
Method: DFT, PBE-GGA
State: relaxed

a b c (Å): 4.264 4.264 4.264
angles (deg): 60.00 60.00 60.00
Positions (direct):
Fe: 0.250 0.250 0.250
Ni: 0.500 0.500 0.500
Sc: 0.750 0.750 0.750
Si: 0.000 0.000 0.000

Calculated values
E above lowest polymorph ... 223.5 meV per atom
Crystal system ... cubic
Symmetry ... F-43m, No. 216



12.
Material: ScTlFeNi
Method: DFT, PBE-GGA
State: relaxed

a b c (Å): 4.572 4.572 4.572
angles (deg): 60.00 60.00 60.00
Positions (direct):
Fe: 0.750 0.750 0.750
Ni: 0.500 0.500 0.500
Sc: 0.250 0.250 0.250
Tl: 0.000 0.000 0.000

Calculated values
E above lowest polymorph ... 114.4 meV per atom
Crystal system ... cubic
Symmetry ... F-43m, No. 216